(1)
VASP calculation (PBE) on a relaxed structure of Y3Ag5.

a b c (Å): 8.499 8.499 8.512
angles (deg): 96.52 96.52 140.58
Fractional positions:
Y 0.000 0.000 0.000
Y 0.075 0.576 0.151
Y 0.152 0.500 0.652
Y 0.500 0.152 0.652
Y 0.576 0.075 0.151
Y 0.652 0.652 0.305
Ag 0.075 0.255 0.329
Ag 0.076 0.076 0.652
Ag 0.077 0.755 0.831
Ag 0.255 0.075 0.329
Ag 0.397 0.577 0.975
Ag 0.574 0.898 0.471
Ag 0.576 0.576 0.653
Ag 0.577 0.397 0.975
Ag 0.755 0.077 0.831
Ag 0.898 0.574 0.471

## Properties
energy above the lowest structure with this stoichiometry: 113 meV per atom
energy of formation from the pure elements: -146 meV per atom
spin magnetization: 0.264 μB/cell



(2)
VASP calculation (PBE) on a relaxed structure of Y4Ag5.

a b c (Å): 7.081 7.081 7.081
angles (deg): 96.87 96.87 139.54
Fractional positions:
Y 0.000 0.312 0.312
Y 0.000 0.688 0.688
Y 0.312 0.000 0.312
Y 0.688 0.000 0.688
Ag 0.000 0.000 0.000
Ag 0.340 0.340 0.681
Ag 0.340 0.660 0.000
Ag 0.660 0.340 0.000
Ag 0.660 0.660 0.319

## Properties
energy above the lowest structure with this stoichiometry: 30 meV per atom
energy of formation from the pure elements: -165 meV per atom
spin magnetization: 0.000 μB/cell



(3)
VASP calculation (PBE) on a relaxed structure of Y4Ag.

a b c (Å): 3.573 3.573 40.310
angles (deg): 90.00 90.00 120.00
Fractional positions:
Y 0.000 0.000 0.108
Y 0.000 0.000 0.297
Y 0.000 0.000 0.703
Y 0.000 0.000 0.892
Y 0.333 0.667 0.370
Y 0.333 0.667 0.558
Y 0.333 0.667 0.775
Y 0.333 0.667 0.964
Y 0.667 0.333 0.036
Y 0.667 0.333 0.225
Y 0.667 0.333 0.442
Y 0.667 0.333 0.630
Ag 0.000 0.000 0.500
Ag 0.333 0.667 0.167
Ag 0.667 0.333 0.833

## Properties
energy above the lowest structure with this stoichiometry: 100 meV per atom
energy of formation from the pure elements: -12 meV per atom
spin magnetization: 0.009 μB/cell



(4)
VASP calculation (PBE) on a relaxed structure of Y6Ag7.

a b c (Å): 11.087 11.087 11.087
angles (deg): 30.27 30.27 30.27
Fractional positions:
Y 0.051 0.051 0.051
Y 0.157 0.157 0.157
Y 0.330 0.330 0.330
Y 0.670 0.670 0.670
Y 0.843 0.843 0.843
Y 0.949 0.949 0.949
Ag 0.094 0.591 0.591
Ag 0.409 0.409 0.906
Ag 0.409 0.906 0.409
Ag 0.500 0.500 0.500
Ag 0.591 0.094 0.591
Ag 0.591 0.591 0.094
Ag 0.906 0.409 0.409

## Properties
energy of formation from the pure elements: -168 meV per atom
spin magnetization: 0.001 μB/cell



(5)
VASP calculation (PBE) on a relaxed structure of Y4Ag.

a b c (Å): 3.569 3.569 23.026
angles (deg): 90.00 90.00 90.00
Fractional positions:
Y 0.000 0.000 0.083
Y 0.000 0.000 0.305
Y 0.000 0.000 0.695
Y 0.000 0.000 0.917
Y 0.500 0.500 0.195
Y 0.500 0.500 0.417
Y 0.500 0.500 0.583
Y 0.500 0.500 0.805
Ag 0.000 0.000 0.500
Ag 0.500 0.500 0.000

## Properties
energy above the lowest structure with this stoichiometry: 10 meV per atom
energy of formation from the pure elements: -103 meV per atom
spin magnetization: 0.003 μB/cell



(6)
VASP calculation (PBE) on a relaxed structure of Y2Ag7.

a b c (Å): 5.469 5.469 14.304
angles (deg): 90.00 90.00 59.95
Fractional positions:
Y 0.197 0.803 0.614
Y 0.197 0.803 0.886
Y 0.803 0.197 0.114
Y 0.803 0.197 0.386
Ag 0.148 0.532 0.074
Ag 0.148 0.532 0.426
Ag 0.189 0.304 0.750
Ag 0.304 0.189 0.250
Ag 0.317 0.683 0.250
Ag 0.468 0.852 0.074
Ag 0.468 0.852 0.426
Ag 0.532 0.148 0.574
Ag 0.532 0.148 0.926
Ag 0.683 0.317 0.750
Ag 0.696 0.811 0.750
Ag 0.811 0.696 0.250
Ag 0.852 0.468 0.574
Ag 0.852 0.468 0.926

## Properties
energy of formation from the pure elements: -212 meV per atom
spin magnetization: 0.000 μB/cell



(7)
VASP calculation (PBE) on a relaxed structure of Y2Ag.

a b c (Å): 3.632 3.632 12.330
angles (deg): 90.00 90.00 90.00
Fractional positions:
Y 0.000 0.000 0.000
Y 0.000 0.000 0.297
Y 0.000 0.000 0.703
Y 0.500 0.500 0.500
Ag 0.500 0.500 0.149
Ag 0.500 0.500 0.851

## Properties
energy of formation from the pure elements: -206 meV per atom
spin magnetization: 0.000 μB/cell



(8)
VASP calculation (PBE) on a relaxed structure of Y3Ag2.

a b c (Å): 3.708 3.708 19.116
angles (deg): 90.00 90.00 90.00
Fractional positions:
Y 0.000 0.000 0.000
Y 0.000 0.000 0.375
Y 0.000 0.000 0.625
Y 0.500 0.500 0.125
Y 0.500 0.500 0.500
Y 0.500 0.500 0.875
Ag 0.000 0.000 0.211
Ag 0.000 0.000 0.789
Ag 0.500 0.500 0.289
Ag 0.500 0.500 0.711

## Properties
energy above the lowest structure with this stoichiometry: 83 meV per atom
energy of formation from the pure elements: -171 meV per atom
spin magnetization: 0.000 μB/cell



Which of these has the highest spin magnetization? Y3Ag5